Density functional theory data (PBE) for a relaxed structure of LaAsRu2.

Energy of formation from the pure elements, eV/atom: -0.071
VASP energy, eV/f.u.: -28.41
Space-group type: No. 99

Cell: 3.180 3.180 7.303 Å, 90.00 90.00 90.00°
Sites, in units of the cell vectors:
La  0.000  0.000  0.000
As  0.500  0.500  0.672
Ru  0.000  0.000  0.504
Ru  0.500  0.500  0.276

Density functional theory data (PBE) for a relaxed structure of AcPrNdHg.

Energy of formation from the pure elements, eV/atom: -0.017
Relative energy among the computed polymorphs, meV per atom: 212
VASP energy, eV/f.u.: -14.03
Space-group type: No. 216

Cell: 5.709 5.709 5.709 Å, 60.00 60.00 60.00°
Sites, in units of the cell vectors:
Ac  0.000  0.000  0.000
Pr  0.250  0.250  0.250
Nd  0.750  0.750  0.750
Hg  0.500  0.500  0.500

Density functional theory data (PBE) for a relaxed structure of NaBiC2S.

VASP energy, eV/f.u.: -18.20
Space-group type: No. 123

Cell: 4.095 4.095 4.845 Å, 90.00 90.00 90.00°
Sites, in units of the cell vectors:
Na  0.000  0.000  0.000
Bi  0.500  0.500  0.000
C  0.000  0.500  0.500
C  0.500  0.000  0.500
S  0.000  0.000  0.500

Density functional theory data (PBE) for a relaxed structure of PdIO2F.

VASP energy, eV/f.u.: -17.95
Space-group type: No. 123

Cell: 4.044 4.044 5.013 Å, 90.00 90.00 90.00°
Sites, in units of the cell vectors:
Pd  0.000  0.000  0.000
I  0.500  0.500  0.500
O  0.000  0.500  0.500
O  0.500  0.000  0.500
F  0.500  0.500  0.000

Density functional theory data (PBE) for a relaxed structure of Nd4SmTm3.

Energy of formation from the pure elements, eV/atom: 0.028
Relative energy among the computed polymorphs, meV per atom: 9
VASP energy, eV/f.u.: -36.98
Space-group type: No. 31

Cell: 11.562 7.324 6.306 Å, 90.00 90.00 90.00°
Sites, in units of the cell vectors:
Nd  0.000  0.129  0.000
Nd  0.000  0.869  0.514
Nd  0.245  0.126  0.343
Nd  0.255  0.874  0.843
Nd  0.500  0.131  0.014
Nd  0.500  0.871  0.500
Nd  0.745  0.874  0.843
Nd  0.755  0.126  0.343
Sm  0.000  0.625  0.011
Sm  0.500  0.375  0.511
Tm  0.000  0.381  0.508
Tm  0.250  0.380  0.842
Tm  0.250  0.620  0.342
Tm  0.500  0.619  0.008
Tm  0.750  0.380  0.842
Tm  0.750  0.620  0.342

Density functional theory data (PBE) for a relaxed structure of Zr2CrCl.

Relative energy among the computed polymorphs, meV per atom: 318
VASP energy, eV/f.u.: -28.90
Space-group type: No. 6

Cell: 3.115 5.049 5.187 Å, 90.00 107.44 90.00°
Sites, in units of the cell vectors:
Zr  0.000  0.000  0.000
Zr  0.258  0.500  0.511
Cr  0.533  0.500  0.066
Cl  0.283  0.000  0.564

Number 1: calculated volume 18.459 Å³ per atom. Number 2: calculated volume 32.902 Å³ per atom. Number 3: calculated volume 16.253 Å³ per atom. Number 4: calculated volume 16.394 Å³ per atom. Number 5: calculated volume 33.374 Å³ per atom. Number 6: calculated volume 19.458 Å³ per atom.